VASP calculation (PBE-GGA) on CePr2Tm3S6 after structural relaxation.

```
CePr2Tm3S6
1.0
3.9018 0.0000 0.0000
0.0000 8.0610 0.1453
-1.9509 -2.4713 8.3599
Ce Pr Tm S
1 2 3 6
Cartesian
1.9509 0.0000 0.0000
1.9509 3.7341 5.6818
0.0000 1.8556 2.8234
1.9509 4.0305 0.0726
1.9509 -0.3180 5.5882
0.0000 5.9077 2.9169
0.0000 5.8741 5.6374
1.9509 4.0224 2.7871
1.9509 -0.2843 2.8678
1.9509 -0.3455 8.3037
0.0000 5.9353 0.2015
0.0000 1.5674 5.7181
```

Output
The formation energy from raw total energies comes out at -1.9920 eV per atom. The space group is C2/m, No. 12.


VASP calculation (PBE-GGA) on AcPm2Tl9 after structural relaxation.

```
AcPm2Tl9
1.0
4.8877 0.0000 0.0000
0.0000 4.8877 0.0000
0.0000 0.0000 14.6320
Ac Pm Tl
1 2 9
Cartesian
0.0000 0.0000 0.0000
0.0000 0.0000 4.9716
0.0000 0.0000 9.6604
2.4438 2.4438 0.0000
2.4438 2.4438 4.9188
2.4438 2.4438 9.7132
2.4438 0.0000 2.5646
2.4438 0.0000 7.3160
2.4438 0.0000 12.0674
0.0000 2.4438 2.5646
0.0000 2.4438 7.3160
0.0000 2.4438 12.0674
```

Output
The energy of formation from the pure elements is -0.308 eV per atom. The space group is P4/mmm, No. 123.


VASP calculation (PBE-GGA) on La2TmBr after structural relaxation.

```
La2TmBr
1.0
-0.7061 3.0837 -1.7996
-0.4348 -1.8951 -3.0767
-9.4692 -1.0204 1.9667
Tm Br La
1 1 2
Cartesian
-5.3051 0.0841 -1.4548
-0.5704 0.5943 -2.4382
-7.2525 -0.7816 1.5063
-2.2167 -0.2389 0.4604
```

Output
The distance to the lowest polymorph of the same formula comes out at 0.062 eV per atom. The formation energy from raw total energies comes out at -0.4952 eV per atom. The space group is P4/mmm, No. 123.